# Tl2AgB

A relaxed Tl2AgB crystal (PBE, Alexandria).

a = 6.0389 Å, b = 6.0389 Å, c = 11.7165 Å
α = 90.00°, β = 90.00°, γ = 90.00°
Last column: nearest neighbours and their distance in Å.
Space group I-42d (No. 122)
Unique sites:
1 Tl 0.1497 0.2500 0.1250 [8 per cell]  2 B 2.29
2 Ag 0.0000 0.0000 0.5000 [4 per cell]  4 Tl 2.98
3 B 0.0000 0.0000 0.0000 [4 per cell]  4 Tl 2.29

Output
Electronic total energy: -2.714 eV per atom
E above lowest polymorph: 0.0 meV per atom
Energy of formation from the pure elements: 0.8513 eV per atom